{"formula": "PaAgSn2O8", "functional": "PBE", "state": "relaxed", "lattice_angstrom": [[-3.5000, 3.5000, 3.6486], [3.5000, -3.5000, 3.6486], [3.5000, 3.5000, -3.6486]], "species": ["Pa", "Ag", "Sn", "Sn", "O", "O", "O", "O", "O", "O", "O", "O"], "frac_coords": [[0.0000, 0.0000, 0.0000], [0.7500, 0.2500, 0.5000], [0.2500, 0.7500, 0.5000], [0.5000, 0.5000, 0.0000], [0.0682, 0.3645, 0.2963], [0.0682, 0.7719, 0.7037], [0.1038, 0.2925, 0.8113], [0.2281, 0.9318, 0.2963], [0.4813, 0.2925, 0.1887], [0.6355, 0.9318, 0.7037], [0.7075, 0.5187, 0.8113], [0.7075, 0.8962, 0.1887]], "space_group": "I-4m2, No. 119", "final_energy_ev_per_atom": -6.532, "volume_a3_per_atom": 14.9}



{"formula": "Tb2EuSb", "functional": "PBE", "state": "relaxed", "lattice_angstrom": [[4.9086, 0.0000, 0.0000], [0.0000, 4.9086, 0.0000], [0.0000, 0.0000, 4.7786]], "species": ["Tb", "Tb", "Eu", "Sb"], "frac_coords": [[0.0000, 0.5000, 0.0000], [0.5000, 0.0000, 0.0000], [0.0000, 0.0000, 0.5000], [0.5000, 0.5000, 0.5000]], "space_group": "P4/mmm, No. 123", "de_polymorph_ev_per_fu": 0.00, "final_energy_ev_per_atom": -6.378, "volume_a3_per_atom": 28.8}



{"formula": "MgCuHg3", "functional": "PBE", "state": "relaxed", "lattice_angstrom": [[5.4193, 0.0000, 0.0000], [0.0000, 5.4193, 0.0000], [0.0000, 0.0000, 5.4193]], "species": ["Mg", "Cu", "Hg", "Hg", "Hg"], "frac_coords": [[0.0000, 0.0000, 0.0000], [0.5000, 0.5000, 0.5000], [0.0000, 0.0000, 0.5000], [0.0000, 0.5000, 0.0000], [0.5000, 0.0000, 0.0000]], "space_group": "Pm-3m, No. 221", "de_polymorph_ev_per_fu": 1.70, "final_energy_ev_per_atom": -0.787, "e_form_kj_per_mol_atoms": 51, "volume_a3_per_atom": 31.8}



{"formula": "ScAl4Os", "functional": "PBE", "state": "relaxed", "lattice_angstrom": [[0.0000, 3.6207, 3.6207], [3.6207, 0.0000, 3.6207], [3.6207, 3.6207, 0.0000]], "species": ["Sc", "Al", "Al", "Al", "Al", "Os"], "frac_coords": [[0.0000, 0.0000, 0.0000], [0.1240, 0.6253, 0.6253], [0.6253, 0.1240, 0.6253], [0.6253, 0.6253, 0.1240], [0.6253, 0.6253, 0.6253], [0.2500, 0.2500, 0.2500]], "space_group": "F-43m, No. 216", "de_polymorph_ev_per_fu": 1.16, "final_energy_ev_per_atom": -5.504, "e_form_kj_per_mol_atoms": -8, "volume_a3_per_atom": 15.8}



{"formula": "Ac6Sn6Bi", "functional": "PBE", "state": "relaxed", "lattice_angstrom": [[6.8766, 0.0000, 0.0000], [-3.4383, 5.9553, 0.0000], [0.0000, 0.0000, 11.3629]], "species": ["Ac", "Ac", "Ac", "Ac", "Ac", "Ac", "Sn", "Sn", "Sn", "Sn", "Sn", "Sn", "Bi"], "frac_coords": [[0.0000, 0.0000, 0.2123], [0.0000, 0.0000, 0.7877], [0.3333, 0.6667, 0.0000], [0.3333, 0.6667, 0.5000], [0.6667, 0.3333, 0.0000], [0.6667, 0.3333, 0.5000], [0.0000, 0.5000, 0.2472], [0.0000, 0.5000, 0.7528], [0.5000, 0.0000, 0.2472], [0.5000, 0.0000, 0.7528], [0.5000, 0.5000, 0.2472], [0.5000, 0.5000, 0.7528], [0.0000, 0.0000, 0.5000]], "space_group": "P6/mmm, No. 191", "final_energy_ev_per_atom": -4.661, "e_form_kj_per_mol_atoms": -60, "volume_a3_per_atom": 35.8}



{"formula": "La2VTe", "functional": "PBE", "state": "relaxed", "lattice_angstrom": [[8.4199, 0.0000, 0.0000], [0.0000, 8.4199, 0.0000], [0.0000, 0.0000, 6.5867]], "species": ["La", "La", "La", "La", "La", "La", "La", "La", "V", "V", "V", "V", "Te", "Te", "Te", "Te"], "frac_coords": [[0.2300, 0.2500, 0.1250], [0.2500, 0.7300, 0.3750], [0.2500, 0.7700, 0.8750], [0.2700, 0.2500, 0.6250], [0.7300, 0.7500, 0.6250], [0.7500, 0.2300, 0.8750], [0.7500, 0.2700, 0.3750], [0.7700, 0.7500, 0.1250], [0.0000, 0.0000, 0.0000], [0.0000, 0.5000, 0.2500], [0.5000, 0.0000, 0.7500], [0.5000, 0.5000, 0.5000], [0.0000, 0.0000, 0.5000], [0.0000, 0.5000, 0.7500], [0.5000, 0.0000, 0.2500], [0.5000, 0.5000, 0.0000]], "space_group": "I-42d, No. 122", "de_polymorph_ev_per_fu": 0.55, "final_energy_ev_per_atom": -5.583, "volume_a3_per_atom": 29.2}



{"formula": "CaAcGdLu", "functional": "PBE", "state": "relaxed", "lattice_angstrom": [[8.3527, 0.0000, 0.0000], [0.0000, 8.3527, 0.0000], [0.0000, 0.0000, 8.3527]], "species": ["Ca", "Ca", "Ca", "Ca", "Ac", "Ac", "Ac", "Ac", "Gd", "Gd", "Gd", "Gd", "Lu", "Lu", "Lu", "Lu"], "frac_coords": [[0.0000, 0.0000, 0.0000], [0.0000, 0.5000, 0.5000], [0.5000, 0.0000, 0.5000], [0.5000, 0.5000, 0.0000], [0.2500, 0.2500, 0.7500], [0.2500, 0.7500, 0.2500], [0.7500, 0.2500, 0.2500], [0.7500, 0.7500, 0.7500], [0.2500, 0.2500, 0.2500], [0.2500, 0.7500, 0.7500], [0.7500, 0.2500, 0.7500], [0.7500, 0.7500, 0.2500], [0.0000, 0.0000, 0.5000], [0.0000, 0.5000, 0.0000], [0.5000, 0.0000, 0.0000], [0.5000, 0.5000, 0.5000]], "space_group": "F-43m, No. 216", "final_energy_ev_per_atom": -6.068, "e_form_kj_per_mol_atoms": 11, "volume_a3_per_atom": 36.4}



{"formula": "NaSnRhAu", "functional": "PBE", "state": "relaxed", "lattice_angstrom": [[6.6085, 0.0000, 0.0000], [0.0000, 6.6085, 0.0000], [0.0000, 0.0000, 6.6085]], "species": ["Na", "Na", "Na", "Na", "Sn", "Sn", "Sn", "Sn", "Rh", "Rh", "Rh", "Rh", "Au", "Au", "Au", "Au"], "frac_coords": [[0.0000, 0.0000, 0.0000], [0.0000, 0.5000, 0.5000], [0.5000, 0.0000, 0.5000], [0.5000, 0.5000, 0.0000], [0.0000, 0.0000, 0.5000], [0.0000, 0.5000, 0.0000], [0.5000, 0.0000, 0.0000], [0.5000, 0.5000, 0.5000], [0.2500, 0.2500, 0.2500], [0.2500, 0.7500, 0.7500], [0.7500, 0.2500, 0.7500], [0.7500, 0.7500, 0.2500], [0.2500, 0.2500, 0.7500], [0.2500, 0.7500, 0.2500], [0.7500, 0.2500, 0.2500], [0.7500, 0.7500, 0.7500]], "space_group": "F-43m, No. 216", "final_energy_ev_per_atom": -4.130, "e_form_kj_per_mol_atoms": -14, "volume_a3_per_atom": 18.0}



{"formula": "LiFe2Ru", "functional": "PBE", "state": "relaxed", "lattice_angstrom": [[2.9798, 0.0000, 0.0000], [0.0000, 2.9798, 0.0000], [0.0000, 0.0000, 5.5334]], "species": ["Li", "Fe", "Fe", "Ru"], "frac_coords": [[0.0000, 0.0000, 0.0000], [0.0000, 0.0000, 0.5099], [0.5000, 0.5000, 0.7518], [0.5000, 0.5000, 0.2673]], "space_group": "P4mm, No. 99", "final_energy_ev_per_atom": -6.769, "e_form_kj_per_mol_atoms": 25, "volume_a3_per_atom": 12.3}



{"formula": "Be3CrTc", "functional": "PBE", "state": "relaxed", "lattice_angstrom": [[3.8958, 0.0000, 0.0000], [0.0000, 3.8958, 0.0000], [0.0000, 0.0000, 3.8958]], "species": ["Be", "Be", "Be", "Cr", "Tc"], "frac_coords": [[0.0000, 0.0000, 0.5000], [0.0000, 0.5000, 0.0000], [0.5000, 0.0000, 0.0000], [0.0000, 0.0000, 0.0000], [0.5000, 0.5000, 0.5000]], "space_group": "Pm-3m, No. 221", "de_polymorph_ev_per_fu": 0.00, "final_energy_ev_per_atom": -5.081, "e_form_kj_per_mol_atoms": 111, "volume_a3_per_atom": 11.8}



{"formula": "Rb2TiTcI6", "functional": "PBE", "state": "relaxed", "lattice_angstrom": [[0.0000, 5.6553, 5.6553], [5.6553, 0.0000, 5.6553], [5.6553, 5.6553, 0.0000]], "species": ["Rb", "Rb", "Ti", "Tc", "I", "I", "I", "I", "I", "I"], "frac_coords": [[0.2500, 0.2500, 0.2500], [0.7500, 0.7500, 0.7500], [0.0000, 0.0000, 0.0000], [0.5000, 0.5000, 0.5000], [0.2524, 0.2524, 0.7476], [0.2524, 0.7476, 0.2524], [0.2524, 0.7476, 0.7476], [0.7476, 0.2524, 0.2524], [0.7476, 0.2524, 0.7476], [0.7476, 0.7476, 0.2524]], "space_group": "Fm-3m, No. 225", "final_energy_ev_per_atom": -3.470, "volume_a3_per_atom": 36.2}



{"formula": "Mg12Sc3Cd", "functional": "PBE", "state": "relaxed", "lattice_angstrom": [[4.5314, 0.0000, 0.0000], [0.0000, 4.5314, 0.0000], [0.0000, 0.0000, 17.7033]], "species": ["Mg", "Mg", "Mg", "Mg", "Mg", "Mg", "Mg", "Mg", "Mg", "Mg", "Mg", "Mg", "Sc", "Sc", "Sc", "Cd"], "frac_coords": [[0.0000, 0.0000, 0.0000], [0.0000, 0.0000, 0.2415], [0.0000, 0.0000, 0.5000], [0.0000, 0.0000, 0.7585], [0.0000, 0.5000, 0.1178], [0.0000, 0.5000, 0.3719], [0.0000, 0.5000, 0.6281], [0.0000, 0.5000, 0.8822], [0.5000, 0.0000, 0.1178], [0.5000, 0.0000, 0.3719], [0.5000, 0.0000, 0.6281], [0.5000, 0.0000, 0.8822], [0.5000, 0.5000, 0.2440], [0.5000, 0.5000, 0.5000], [0.5000, 0.5000, 0.7560], [0.5000, 0.5000, 0.0000]], "space_group": "P4/mmm, No. 123", "final_energy_ev_per_atom": -2.485, "e_form_kj_per_mol_atoms": -4, "volume_a3_per_atom": 22.7}